[1]
ZnCuGe after structural relaxation. Source: Alexandria via LeMat-Bulk, functional PBE. Values from VASP.

Structure (Quantum ESPRESSO input):
```
&SYSTEM
  ibrav = 0, nat = 6, ntyp = 3
/
ATOMIC_SPECIES
Ge 72.64 Ge.upf
Zn 65.41 Zn.upf
Cu 63.55 Cu.upf
CELL_PARAMETERS angstrom
4.0375 0.0000 -0.0971
0.0000 2.5863 0.0000
-1.0521 0.0000 10.4558
ATOMIC_POSITIONS crystal
Ge 0.6826 0.0000 0.1895
Ge 0.6826 0.5000 0.6895
Zn 0.4190 0.0000 0.4758
Zn 0.4190 0.5000 0.9758
Cu 0.2029 0.0000 0.7758
Cu 0.2029 0.5000 0.2758
```

Output
Fermi-level density of states: 1.69 states/eV/cell
Total moment: 0.0 μB per cell
DFT formation energy: 0.16 eV/atom



[2]
PmYBeOs after structural relaxation. Source: Alexandria via LeMat-Bulk, functional PBE. Values from VASP.

Structure (Quantum ESPRESSO input):
```
&SYSTEM
  ibrav = 0, nat = 4, ntyp = 4
/
ATOMIC_SPECIES
Y 88.91 Y.upf
Be 9.01 Be.upf
Os 190.23 Os.upf
Pm 145.00 Pm.upf
CELL_PARAMETERS angstrom
4.9036 0.0000 0.0000
2.4518 4.2467 0.0000
2.4518 1.4156 4.0038
ATOMIC_POSITIONS crystal
Y 0.5000 0.5000 0.5000
Be 0.7500 0.7500 0.7500
Os 0.2500 0.2500 0.2500
Pm 0.0000 0.0000 0.0000
```

Output
Fermi-level density of states: 3.42 states/eV/cell
Total moment: 0.0 μB per cell
DFT formation energy: 0.03 eV/atom



[3]
ScNiH8Rh4 after structural relaxation. Source: Alexandria via LeMat-Bulk, functional PBE. Values from VASP.

Structure (Quantum ESPRESSO input):
```
&SYSTEM
  ibrav = 0, nat = 14, ntyp = 4
/
ATOMIC_SPECIES
Sc 44.96 Sc.upf
Ni 58.69 Ni.upf
H 1.01 H.upf
Rh 102.91 Rh.upf
CELL_PARAMETERS angstrom
5.6222 0.0000 0.0000
2.8111 4.8690 0.0000
2.8111 1.6230 4.3011
ATOMIC_POSITIONS crystal
Sc 0.3911 0.3911 0.8268
Ni 0.9959 0.9959 0.0122
H 0.2134 0.8343 0.7390
H 0.8343 0.2134 0.7390
H 0.2134 0.2134 0.7390
H 0.2281 0.2281 0.3157
H 0.7654 0.2267 0.2425
H 0.2267 0.7654 0.2425
H 0.7654 0.7654 0.2425
H 0.7557 0.7557 0.7329
Rh 0.6145 0.6145 0.1565
Rh 0.9970 0.5023 0.5038
Rh 0.5023 0.9970 0.5038
Rh 0.9970 0.9970 0.5038
```

Output
Fermi-level density of states: 5.82 states/eV/cell
E_tot: -5.051 eV per atom
Total moment: 0.0 μB per cell



[4]
BaCuAs2 after structural relaxation. Source: Alexandria via LeMat-Bulk, functional PBE. Values from VASP.

Structure (Quantum ESPRESSO input):
```
&SYSTEM
  ibrav = 0, nat = 4, ntyp = 3
/
ATOMIC_SPECIES
As 74.92 As.upf
Ba 137.33 Ba.upf
Cu 63.55 Cu.upf
CELL_PARAMETERS angstrom
7.3172 0.0117 0.0363
-2.9358 4.7690 -0.0126
1.4456 0.9005 2.7964
ATOMIC_POSITIONS crystal
As 0.0000 0.0000 0.0000
As 0.5000 0.0000 0.5000
Ba 0.0000 0.5000 0.5000
Cu 0.5000 0.5000 0.0000
```

Output
Fermi-level density of states: 2.18 states/eV/cell
Total moment: 0.0 μB per cell
DFT formation energy: 0.10 eV/atom



[5]
Sr2ZrZn after structural relaxation. Source: Alexandria via LeMat-Bulk, functional PBE. Values from VASP.

Structure (Quantum ESPRESSO input):
```
&SYSTEM
  ibrav = 0, nat = 4, ntyp = 3
/
ATOMIC_SPECIES
Sr 87.62 Sr.upf
Zn 65.41 Zn.upf
Zr 91.22 Zr.upf
CELL_PARAMETERS angstrom
5.0292 0.0000 0.0000
0.0000 5.0334 0.0000
0.0000 0.0000 4.9220
ATOMIC_POSITIONS crystal
Sr 0.0000 0.0000 0.0000
Sr 0.5000 0.5000 0.0000
Zn 0.5000 0.0000 0.5000
Zr 0.0000 0.5000 0.5000
```

Output
Fermi-level density of states: 5.86 states/eV/cell
Total moment: 1.7 μB per cell
DFT formation energy: 0.47 eV/atom



[6]
RbCd2BiTe after structural relaxation. Source: Alexandria via LeMat-Bulk, functional PBE. Values from VASP.

Structure (Quantum ESPRESSO input):
```
&SYSTEM
  ibrav = 0, nat = 5, ntyp = 4
/
ATOMIC_SPECIES
Te 127.60 Te.upf
Bi 208.98 Bi.upf
Rb 85.47 Rb.upf
Cd 112.41 Cd.upf
CELL_PARAMETERS angstrom
-2.4213 2.9245 -5.0497
-0.5633 -5.5587 -2.9492
-6.2382 -0.7304 2.5682
ATOMIC_POSITIONS crystal
Te 0.0000 0.0000 0.5000
Bi 0.5000 0.5000 0.5000
Rb 0.0000 0.0000 0.0000
Cd 0.0000 0.5000 0.0000
Cd 0.5000 0.0000 0.0000
```

Output
Fermi-level density of states: 2.40 states/eV/cell
Total moment: 1.9 μB per cell
Formation energy from raw total energies: 0.7131 eV per atom



[7]
CeUS2 after structural relaxation. Source: Alexandria via LeMat-Bulk, functional PBE. Values from VASP.

Structure (Quantum ESPRESSO input):
```
&SYSTEM
  ibrav = 0, nat = 4, ntyp = 3
/
ATOMIC_SPECIES
S 32.06 S.upf
U 238.03 U.upf
Ce 140.12 Ce.upf
CELL_PARAMETERS angstrom
3.8940 0.0000 0.0000
1.9470 3.3723 0.0000
1.9470 1.1241 6.5815
ATOMIC_POSITIONS crystal
S 0.7531 0.7531 0.7408
S 0.2469 0.2469 0.2592
U 0.5000 0.5000 0.5000
Ce 0.0000 0.0000 0.0000
```

Output
Fermi-level density of states: 7.86 states/eV/cell
Total moment: 2.8 μB per cell
Energy above the lowest structure with this stoichiometry: 0.0000 eV per atom
Formation energy from raw total energies: -1.7000 eV per atom



[8]
ErInRuAu after structural relaxation. Source: Alexandria via LeMat-Bulk, functional PBE. Values from VASP.

Structure (Quantum ESPRESSO input):
```
&SYSTEM
  ibrav = 0, nat = 4, ntyp = 4
/
ATOMIC_SPECIES
Ru 101.07 Ru.upf
In 114.82 In.upf
Au 196.97 Au.upf
Er 167.26 Er.upf
CELL_PARAMETERS angstrom
-4.4341 -0.5347 1.7306
-2.1730 -4.2608 -0.2557
-0.7239 -2.5620 3.9817
ATOMIC_POSITIONS crystal
Ru 0.7500 0.7500 0.7500
In 0.0000 0.0000 0.0000
Au 0.2500 0.2500 0.2500
Er 0.5000 0.5000 0.5000
```

Output
Fermi-level density of states: 2.66 states/eV/cell
Total moment: 0.0 μB per cell
DFT formation energy: -0.35 eV/atom



[9]
SrCa2Co after structural relaxation. Source: Alexandria via LeMat-Bulk, functional PBE. Values from VASP.

Structure (Quantum ESPRESSO input):
```
&SYSTEM
  ibrav = 0, nat = 4, ntyp = 3
/
ATOMIC_SPECIES
Sr 87.62 Sr.upf
Ca 40.08 Ca.upf
Co 58.93 Co.upf
CELL_PARAMETERS angstrom
6.2779 0.0520 0.0000
2.3639 5.8161 0.0000
-4.3209 -2.9340 3.4837
ATOMIC_POSITIONS crystal
Sr 0.7500 0.2500 0.5000
Ca 0.0000 0.0000 0.0000
Ca 0.5000 0.5000 0.0000
Co 0.2500 0.7500 0.5000
```

Output
Fermi-level density of states: 3.68 states/eV/cell
Total moment: 0.8 μB per cell
DFT formation energy: 0.49 eV/atom
Energy above the lowest structure with this stoichiometry: 0.2347 eV per atom



[10]
NpTc5As6 after structural relaxation. Source: Alexandria via LeMat-Bulk, functional PBE. Values from VASP.

Structure (Quantum ESPRESSO input):
```
&SYSTEM
  ibrav = 0, nat = 12, ntyp = 3
/
ATOMIC_SPECIES
Np 237.00 Np.upf
Tc 98.00 Tc.upf
As 74.92 As.upf
CELL_PARAMETERS angstrom
-6.2905 -1.6196 -2.4909
-3.4120 -1.3565 4.1078
-3.2785 4.7044 2.5252
ATOMIC_POSITIONS crystal
Np 0.0000 0.0000 0.0000
Tc 0.5000 0.1202 0.7596
Tc 0.0000 0.3078 0.3844
Tc 0.5000 0.5000 0.0000
Tc 0.0000 0.6922 0.6156
Tc 0.5000 0.8798 0.2404
As 0.7048 0.0850 0.3833
As 0.2952 0.5318 0.3833
As 0.2168 0.3334 0.0000
As 0.7832 0.6666 0.0000
As 0.7048 0.4682 0.6167
As 0.2952 0.9150 0.6167
```

Output
Fermi-level density of states: 17.75 states/eV/cell
Total moment: 3.9 μB per cell
DFT formation energy: -0.06 eV/atom



[11]
Na3PbAu4 after structural relaxation. Source: Alexandria via LeMat-Bulk, functional PBE. Values from VASP.

Structure (Quantum ESPRESSO input):
```
&SYSTEM
  ibrav = 0, nat = 8, ntyp = 3
/
ATOMIC_SPECIES
Na 22.99 Na.upf
Pb 207.20 Pb.upf
Au 196.97 Au.upf
CELL_PARAMETERS angstrom
6.7490 -0.1298 -0.8348
-3.4366 5.8100 0.8348
-3.6368 -1.6851 5.4952
ATOMIC_POSITIONS crystal
Na 0.6292 0.3003 0.9295
Na 0.8120 0.0000 0.8120
Na 0.6292 0.6997 0.3290
Pb 0.1599 0.5000 0.6599
Au 0.1408 0.7798 0.9207
Au 0.1408 0.2202 0.3610
Au 0.5270 0.2075 0.3195
Au 0.1120 0.7925 0.3195
```

Output
Fermi-level density of states: 2.04 states/eV/cell
Total moment: 0.0 μB per cell
DFT formation energy: -0.20 eV/atom
Energy above the lowest structure with this stoichiometry: 0.0056 eV per atom



[12]
YGaCu3 after structural relaxation. Source: Alexandria via LeMat-Bulk, functional PBE. Values from VASP.

Structure (Quantum ESPRESSO input):
```
&SYSTEM
  ibrav = 0, nat = 10, ntyp = 3
/
ATOMIC_SPECIES
Y 88.91 Y.upf
Ga 69.72 Ga.upf
Cu 63.55 Cu.upf
CELL_PARAMETERS angstrom
4.4036 0.0000 -2.4346
-2.5437 7.7083 -4.6009
0.4739 -1.8752 6.0570
ATOMIC_POSITIONS crystal
Y 0.2500 0.2426 0.5000
Y 0.7500 0.7574 0.5000
Ga 0.0000 0.5000 0.0000
Ga 0.5000 0.0000 0.0000
Cu 0.8098 0.3098 0.1195
Cu 0.3098 0.3098 0.1195
Cu 0.6902 0.6902 0.8805
Cu 0.1902 0.6902 0.8805
Cu 0.2500 0.9372 0.5000
Cu 0.7500 0.0628 0.5000
```

Output
Fermi-level density of states: 4.03 states/eV/cell
Total moment: 0.0 μB per cell
DFT formation energy: -0.23 eV/atom
Energy above the lowest structure with this stoichiometry: 0.0000 eV per atom



[13]
SrGe2Pt5 after structural relaxation. Source: Alexandria via LeMat-Bulk, functional PBE. Values from VASP.

Structure (Quantum ESPRESSO input):
```
&SYSTEM
  ibrav = 0, nat = 8, ntyp = 3
/
ATOMIC_SPECIES
Sr 87.62 Sr.upf
Ge 72.64 Ge.upf
Pt 195.08 Pt.upf
CELL_PARAMETERS angstrom
4.0207 0.0000 0.0000
2.0104 6.1625 0.4099
2.0104 1.5352 5.9823
ATOMIC_POSITIONS crystal
Sr 0.0000 0.0000 0.0000
Ge 0.7516 0.7484 0.7484
Ge 0.2484 0.2516 0.2516
Pt 0.0000 0.5000 0.5000
Pt 0.6469 0.5481 0.1580
Pt 0.3531 0.4519 0.8420
Pt 0.3531 0.8420 0.4519
Pt 0.6469 0.1580 0.5481
```

Output
Fermi-level density of states: 1.96 states/eV/cell
Total moment: 0.0 μB per cell
DFT formation energy: -0.64 eV/atom